Entry from the Alexandria database: Cs5PtO4F2 after structural relaxation (PBE).

a b c (Å): 7.2870 6.5088 8.2934
angles (deg): 90.00 90.00 124.04
Closest atoms and distances in Å follow each position.
Fractional positions:
Cs (0.0886, 0.3715, 0.2315)  2 F 2.96-3.00, 3 O 3.05-3.10
Cs (0.4164, 0.0000, 0.5000)  2 F 2.97, 2 O 3.07
Cs (0.0886, 0.3715, 0.7685)  2 F 2.96-3.00, 3 O 3.05-3.10
Cs (0.7170, 0.6285, 0.7685)  2 F 2.96-3.00, 3 O 3.05-3.10
Cs (0.7170, 0.6285, 0.2315)  2 F 2.96-3.00, 3 O 3.05-3.10
Pt (0.4114, 0.0000, 0.0000)  4 O 1.92-1.93
O (0.5958, 0.0000, 0.1654)  1 Pt 1.92
O (0.5958, 0.0000, 0.8346)  1 Pt 1.92
O (0.3455, 0.2484, 0.0000)  1 Pt 1.93
O (0.0971, 0.7516, 0.0000)  1 Pt 1.93
F (0.9488, 0.5649, 0.5000)  5 Cs 2.96-3.00
F (0.3839, 0.4351, 0.5000)  5 Cs 2.96-3.00

Results
DFT total energy   -4.283 eV/atom
E_form (uncorrected)   -1.46 eV/atom
Total magnetization   1.0 μB per cell
Theoretical density   4899 kg/m3

***

Entry from the Alexandria database: Re4Hg5 after structural relaxation (PBE).

a b c (Å): 8.2742 8.2742 5.5263
angles (deg): 90.00 90.00 60.00
Closest atoms and distances in Å follow each position.
Fractional positions:
Re (0.0000, 0.0000, 0.0000)  2 Re 2.76, 6 Hg 2.80
Re (0.0000, 0.0000, 0.5000)  2 Re 2.76, 6 Hg 2.80
Re (0.6293, 0.3707, 0.2500)  9 Hg 2.77-2.96
Re (0.0000, 0.6293, 0.2500)  9 Hg 2.77-2.96
Re (0.3707, 0.0000, 0.2500)  9 Hg 2.77-2.96
Re (0.3707, 0.6293, 0.7500)  9 Hg 2.77-2.96
Re (0.0000, 0.3707, 0.7500)  9 Hg 2.77-2.96
Re (0.6293, 0.0000, 0.7500)  9 Hg 2.77-2.96
Hg (0.2943, 0.7057, 0.2500)  7 Re 2.77-2.83
Hg (0.0000, 0.2943, 0.2500)  7 Re 2.77-2.83
Hg (0.7057, 0.0000, 0.2500)  7 Re 2.77-2.83
Hg (0.7057, 0.2943, 0.7500)  7 Re 2.77-2.83
Hg (0.0000, 0.7057, 0.7500)  7 Re 2.77-2.83
Hg (0.2943, 0.0000, 0.7500)  7 Re 2.77-2.83
Hg (0.3333, 0.3333, 0.0000)  2 Hg 2.76, 6 Re 2.96
Hg (0.6667, 0.6667, 0.5000)  2 Hg 2.76, 6 Re 2.96
Hg (0.6667, 0.6667, 0.0000)  2 Hg 2.76, 6 Re 2.96
Hg (0.3333, 0.3333, 0.5000)  2 Hg 2.76, 6 Re 2.96

Results
DFT total energy   -4.399 eV/atom
Energy relative to the lowest polymorph listed for this composition   627.7 meV per atom
Total magnetization   4.1 μB per cell
Theoretical density   17715 kg/m3

***

Entry from the Alexandria database: InAg2PdRh after structural relaxation (PBE).

a b c (Å): 5.0884 4.7849 5.0884
angles (deg): 90.00 90.00 90.00
Closest atoms and distances in Å follow each position.
Fractional positions:
Rh (0.0000, 0.0000, 0.0000)  2 Pd 2.39, 4 Ag 2.54
Pd (0.0000, 0.5000, 0.0000)  2 Rh 2.39
Ag (0.0000, 0.0000, 0.5000)  2 Rh 2.54
Ag (0.5000, 0.0000, 0.0000)  2 Rh 2.54
In (0.5000, 0.5000, 0.5000)  8 Ag 3.49, 4 Pd 3.60

Results
DFT total energy   -3.385 eV/atom
Total magnetization   0.0 μB per cell
Theoretical density   7236 kg/m3

***

Entry from the Alexandria database: NdEr4Mg2 after structural relaxation (PBE).

a b c (Å): 3.4659 3.5074 17.3972
angles (deg): 95.79 90.00 90.00
Closest atoms and distances in Å follow each position.
Fractional positions:
Nd (0.0000, 0.5000, 0.0000)  4 Nd 3.47-3.51, 8 Er 3.60
Er (0.5000, 0.0758, 0.1516)  8 Er 3.47-3.51, 4 Nd 3.60
Er (0.0000, 0.3530, 0.7061)  4 Mg 3.36, 8 Er 3.47-3.51
Er (0.5000, 0.9242, 0.8484)  8 Er 3.47-3.51, 4 Nd 3.60
Er (0.0000, 0.6470, 0.2939)  4 Mg 3.36, 8 Er 3.47-3.51
Mg (0.5000, 0.2130, 0.4260)  4 Mg 3.10-3.47, 4 Er 3.36
Mg (0.5000, 0.7870, 0.5740)  4 Mg 3.10-3.47, 4 Er 3.36

Results
DFT total energy   -3.704 eV/atom
Energy relative to the lowest polymorph listed for this composition   0.0 meV per atom
Total magnetization   0.0 μB per cell
Theoretical density   6802 kg/m3

***

Entry from the Alexandria database: ZrCu2Hg after structural relaxation (PBE).

a b c (Å): 4.5849 4.5849 4.5908
angles (deg): 59.97 59.97 60.07
Closest atoms and distances in Å follow each position.
Fractional positions:
Cu (0.0004, 0.0004, 0.9996)  4 Cu 2.81, 4 Zr 2.81
Cu (0.7498, 0.7498, 0.7503)  4 Cu 2.81, 4 Hg 2.81
Hg (0.4998, 0.4998, 0.5002)  4 Cu 2.81, 4 Zr 2.81
Zr (0.2500, 0.2500, 0.2499)  4 Cu 2.81, 4 Hg 2.81

Results
DFT total energy   -4.270 eV/atom
Total magnetization   0.0 μB per cell
Theoretical density   10192 kg/m3

***

Entry from the Alexandria database: Pa2CrMo after structural relaxation (PBE).

a b c (Å): 3.1373 3.1373 9.5538
angles (deg): 80.55 80.55 60.00
Closest atoms and distances in Å follow each position.
Fractional positions:
Cr (0.0000, 0.0000, 0.0000)  2 Pa 2.36
Mo (0.5000, 0.5000, 0.5000)  6 Pa 2.95, 6 Mo 3.14
Pa (0.0839, 0.0839, 0.7483)  1 Cr 2.36
Pa (0.9161, 0.9161, 0.2517)  1 Cr 2.36

Results
DFT total energy   -9.227 eV/atom
Energy relative to the lowest polymorph listed for this composition   309.9 meV per atom
Total magnetization   0.0 μB per cell
Theoretical density   12668 kg/m3

***

Entry from the Alexandria database: ZrZn2HAu after structural relaxation (PBE).

a b c (Å): 4.2368 4.2368 4.0313
angles (deg): 90.00 90.00 90.00
Closest atoms and distances in Å follow each position.
Fractional positions:
H (0.0000, 0.0000, 0.0000)  2 Zr 2.02, 4 Zn 2.12
Zn (0.0000, 0.5000, 0.0000)  2 H 2.12
Zn (0.5000, 0.0000, 0.0000)  2 H 2.12
Au (0.5000, 0.5000, 0.5000)  8 Zn 2.92, 4 Zr 3.00
Zr (0.0000, 0.0000, 0.5000)  2 H 2.02

Results
DFT total energy   -3.782 eV/atom
Total magnetization   0.0 μB per cell
Theoretical density   9638 kg/m3

***

Entry from the Alexandria database: Pm2DyHoTe6 after structural relaxation (PBE).

a b c (Å): 7.7957 7.7957 8.3796
angles (deg): 62.28 62.29 60.00
Closest atoms and distances in Å follow each position.
Fractional positions:
Pm (0.5125, 0.5126, 0.4624)  6 Te 3.14-3.19
Pm (0.0123, 0.0123, 0.9632)  6 Te 3.14-3.19
Dy (0.8237, 0.8237, 0.5288)  6 Te 3.07-3.11
Ho (0.3240, 0.3240, 0.0280)  6 Te 3.06-3.09
Te (0.5959, 0.2187, 0.2553)  1 Ho 3.06, 1 Dy 3.11, 2 Pm 3.14-3.19
Te (0.2187, 0.9302, 0.2553)  1 Ho 3.06, 1 Dy 3.11, 2 Pm 3.14-3.19
Te (0.9301, 0.5959, 0.2552)  1 Ho 3.06, 1 Dy 3.11, 2 Pm 3.14-3.19
Te (0.4287, 0.7182, 0.7557)  1 Dy 3.07, 1 Ho 3.09, 2 Pm 3.14-3.19
Te (0.7182, 0.0975, 0.7557)  1 Dy 3.07, 1 Ho 3.09, 2 Pm 3.14-3.19
Te (0.0975, 0.4286, 0.7556)  1 Dy 3.07, 1 Ho 3.09, 2 Pm 3.14-3.19

Results
DFT total energy   -5.122 eV/atom
E_form (uncorrected)   -1.37 eV/atom
Total magnetization   0.0 μB per cell
Theoretical density   6173 kg/m3